The following is a GGA-PBE calculation of an optimized crystal structure of Ba2SrBe, from the Alexandria database.

## Properties
**ΔH_f (0 K)**: 462.9 meV/atom
**Total energy**: -29.61 eV for the cell shown

Unit cell a=10.529 b=10.529 c=6.852 alpha=90.00 beta=90.00 gamma=90.00
Space group I-42d (No. 122)
Symmetry-distinct sites (fractional):
Ba 0.149 0.250 0.125 x8
Sr 0.000 0.000 0.500 x4
Be 0.000 0.000 0.000 x4

The following is a GGA-PBE calculation of an optimized crystal structure of CsTeH2, from the Alexandria database.

## Properties
**ΔE to the lowest computed polymorph**: 382 kJ/mol of formula units
**Total energy**: -33.72 eV for the cell shown

Unit cell a=7.061 b=7.061 c=7.061 alpha=90.00 beta=90.00 gamma=90.00
Space group Fm-3m (No. 225)
Symmetry-distinct sites (fractional):
Cs 0.000 0.000 0.000 x4
Te 0.000 0.000 0.500 x4
H 0.250 0.250 0.250 x8

The following is a GGA-PBE calculation of an optimized crystal structure of PmAg2Pt, from the Alexandria database.

## Properties
**ΔE to the lowest computed polymorph**: 63 kJ/mol of formula units
**ΔH_f (0 K)**: -322.8 meV/atom
**Total energy**: -71.14 eV for the cell shown

Unit cell a=6.896 b=6.896 c=6.896 alpha=90.00 beta=90.00 gamma=90.00
Space group Fm-3m (No. 225)
Symmetry-distinct sites (fractional):
Pm 0.000 0.000 0.000 x4
Ag 0.250 0.250 0.250 x8
Pt 0.000 0.000 0.500 x4

The following is a GGA-PBE calculation of an optimized crystal structure of Ca2AlGa3, from the Alexandria database.

## Properties
**ΔE to the lowest computed polymorph**: 20 kJ/mol of formula units
**ΔH_f (0 K)**: -429.9 meV/atom
**Total energy**: -155.25 eV for the cell shown

Unit cell a=8.190 b=8.811 c=15.219 alpha=90.00 beta=90.00 gamma=90.00
Space group Fmmm (No. 69)
Symmetry-distinct sites (fractional):
Ca 0.247 0.000 0.000 x8
Ca 0.250 0.250 0.250 x8
Al 0.000 0.000 0.333 x8
Ga 0.000 0.000 0.166 x8
Ga 0.000 0.250 0.083 x16

The following is a GGA-PBE calculation of an optimized crystal structure of CuSiRh2, from the Alexandria database.

## Properties
**E_form (uncorrected)**: -0.35 eV/atom
**Total energy**: -76.92 eV for the cell shown

Unit cell a=2.8144 b=2.8144 c=23.7816 alpha=90.00 beta=90.00 gamma=120.00
Space group R-3m (No. 166, hexagonal axes)
Symmetry-distinct sites (fractional):
Cu 0.0000 0.0000 0.0000 x3
Si 0.0000 0.0000 0.5000 x3
Rh 0.0000 0.0000 0.2421 x6

The following is a GGA-PBE calculation of an optimized crystal structure of Ca6AsN2, from the Alexandria database.

## Properties
**E_form (uncorrected)**: -0.76 eV/atom
**Total energy**: -80.28 eV for the cell shown

Unit cell a=12.715 b=4.910 c=8.752 alpha=90.00 beta=123.13 gamma=90.00
Space group C2/m (No. 12)
Symmetry-distinct sites (fractional):
Ca 0.028 0.000 0.191 x4
Ca 0.163 0.500 0.603 x4
Ca 0.206 0.500 0.077 x4
As 0.000 0.000 0.500 x2
N 0.177 0.000 0.083 x4

The following is a GGA-PBE calculation of an optimized crystal structure of PmErLuSc, from the Alexandria database.

## Properties
**ΔH_f (0 K)**: 98.5 meV/atom
**Total energy**: -79.09 eV for the cell shown

Unit cell a=7.806 b=7.806 c=7.806 alpha=90.00 beta=90.00 gamma=90.00
Space group F-43m (No. 216)
Symmetry-distinct sites (fractional):
Pm 0.000 0.000 0.000 x4
Er 0.000 0.000 0.500 x4
Lu 0.250 0.250 0.250 x4
Sc 0.250 0.250 0.750 x4

The following is a GGA-PBE calculation of an optimized crystal structure of Cu2TeRh, from the Alexandria database.

## Properties
**E_form (uncorrected)**: 0.04 eV/atom
**Total energy**: -37.06 eV for the cell shown

Unit cell a=3.960 b=3.960 c=7.828 alpha=90.00 beta=90.00 gamma=90.00
Space group I-4m2 (No. 119)
Symmetry-distinct sites (fractional):
Cu 0.000 0.000 0.000 x2
Cu 0.000 0.500 0.250 x2
Te 0.000 0.000 0.500 x2
Rh 0.000 0.500 0.750 x2

The following is a GGA-PBE calculation of an optimized crystal structure of CsNa2RuCl8, from the Alexandria database.

## Properties
**E_form (uncorrected)**: -1.12 eV/atom
**Total energy**: -40.93 eV for the cell shown

Unit cell a=6.413 b=6.632 c=8.591 alpha=87.44 beta=80.32 gamma=89.01
Space group P-1 (No. 2)
Symmetry-distinct sites (fractional):
Cs 0.000 0.000 0.000 x1
Na 0.487 0.513 0.255 x2
Ru 0.500 0.000 0.500 x1
Cl 0.217 0.801 0.613 x2
Cl 0.238 0.495 0.021 x2
Cl 0.281 0.290 0.525 x2
Cl 0.422 0.950 0.247 x2

The following is a GGA-PBE calculation of an optimized crystal structure of Sm6Zn2Ga, from the Alexandria database.

## Properties
**ΔH_f (0 K)**: -231.4 meV/atom
**Total energy**: -143.89 eV for the cell shown

Unit cell a=9.961 b=9.988 c=10.118 alpha=90.00 beta=90.00 gamma=90.00
Space group Immm (No. 71)
Symmetry-distinct sites (fractional):
Sm 0.000 0.177 0.238 x8
Sm 0.176 0.500 0.278 x8
Sm 0.250 0.199 0.500 x8
Zn 0.000 0.366 0.500 x4
Zn 0.127 0.000 0.000 x4
Ga 0.000 0.000 0.500 x2
Ga 0.000 0.500 0.000 x2

The following is a GGA-PBE calculation of an optimized crystal structure of LaTa, from the Alexandria database.

## Properties
**ΔE to the lowest computed polymorph**: 22 kJ/mol of formula units
**ΔH_f (0 K)**: 393.2 meV/atom
**Total energy**: -63.97 eV for the cell shown

Unit cell a=3.461 b=5.197 c=11.123 alpha=90.00 beta=90.00 gamma=90.00
Space group Cmme (No. 67)
Symmetry-distinct sites (fractional):
La 0.000 0.250 0.162 x4
Ta 0.000 0.250 0.594 x4

The following is a GGA-PBE calculation of an optimized crystal structure of MoPdAu, from the Alexandria database.

## Properties
**ΔE to the lowest computed polymorph**: 0 kJ/mol of formula units
**ΔH_f (0 K)**: 15.8 meV/atom
**Total energy**: -115.52 eV for the cell shown

Unit cell a=2.8191 b=2.8191 c=42.9549 alpha=90.00 beta=90.00 gamma=120.00
Space group R-3m (No. 166, hexagonal axes)
Symmetry-distinct sites (fractional):
Mo 0.0000 0.0000 0.1946 x6
Pd 0.0000 0.0000 0.0877 x6
Au 0.0000 0.0000 0.3639 x6